Entry 1:
# SrBiH

A geometry-optimized SrBiH structure (PBE, the Alexandria database).

Cell and atoms, written as POSCAR:
```
SrBiH
1.0
7.005 0.000 0.000
0.000 7.015 0.000
0.000 0.000 7.031
H Bi Sr
4 4 4
Direct
0.570 0.750 0.355 H
0.930 0.250 0.855 H
0.070 0.750 0.145 H
0.430 0.250 0.645 H
0.752 0.750 0.554 Bi
0.252 0.750 0.946 Bi
0.248 0.250 0.446 Bi
0.748 0.250 0.054 Bi
0.235 0.750 0.458 Sr
0.735 0.750 0.042 Sr
0.765 0.250 0.542 Sr
0.265 0.250 0.958 Sr
```

Summary:
SG: Pnma (62)
Relative energy among the computed polymorphs in meV/atom: 52
Magnetic moment in μB/f.u.: 0.0
Total energy in Ry/atom: -0.2480



Entry 2:
# Sr2TaBiH

A geometry-optimized Sr2TaBiH structure (PBE, the Alexandria database).

Cell and atoms, written as POSCAR:
```
Sr2TaBiH
1.0
5.436 0.000 0.000
0.000 4.318 0.000
0.000 0.000 5.436
Ta Sr Bi H
1 2 1 1
Direct
0.000 0.500 0.000 Ta
0.000 0.000 0.500 Sr
0.500 0.000 0.000 Sr
0.500 0.500 0.500 Bi
0.000 0.000 0.000 H
```

Summary:
SG: P4/mmm (123)
Magnetic moment in μB/f.u.: 2.7
Total energy in Ry/atom: -0.3158



Entry 3:
# SrZnBiH

A geometry-optimized SrZnBiH structure (PBE, the Alexandria database).

Cell and atoms, written as POSCAR:
```
SrZnBiH
1.0
4.565 0.000 0.000
-2.283 3.954 0.006
0.000 -0.009 5.099
Zn H Sr Bi
1 1 1 1
Direct
0.239 0.477 0.201 Zn
0.239 0.477 0.865 H
0.905 0.811 0.814 Sr
0.572 0.144 0.360 Bi
```

Summary:
SG: P3m1 (156)
Magnetic moment in μB/f.u.: 0.0
Total energy in Ry/atom: -0.2237



Entry 4:
# Sr2ZnBiH

A geometry-optimized Sr2ZnBiH structure (PBE, the Alexandria database).

Cell and atoms, written as POSCAR:
```
Sr2ZnBiH
1.0
5.317 0.000 0.000
0.000 5.317 0.000
0.000 0.000 4.581
Zn H Bi Sr
1 1 1 2
Direct
0.000 0.000 0.500 Zn
0.000 0.000 0.000 H
0.500 0.500 0.500 Bi
0.000 0.500 0.000 Sr
0.500 0.000 0.000 Sr
```

Summary:
SG: P4/mmm (123)
Magnetic moment in μB/f.u.: 0.0
Total energy in Ry/atom: -0.2088



Entry 5:
# SrZnBiH2

A geometry-optimized SrZnBiH2 structure (PBE, the Alexandria database).

Cell and atoms, written as POSCAR:
```
SrZnBiH2
1.0
4.806 0.000 0.000
-2.403 5.709 0.000
0.000 0.000 6.742
Zn Bi Sr H
2 2 2 4
Direct
0.000 0.000 0.500 Zn
0.000 0.000 0.000 Zn
0.559 0.117 0.250 Bi
0.441 0.883 0.750 Bi
0.726 0.452 0.750 Sr
0.274 0.548 0.250 Sr
0.852 0.705 0.444 H
0.148 0.295 0.556 H
0.148 0.295 0.944 H
0.852 0.705 0.056 H
```

Summary:
SG: Cmcm (63)
Magnetic moment in μB/f.u.: 0.0
Total energy in Ry/atom: -0.2167



Entry 6:
# TaBiH2

A geometry-optimized TaBiH2 structure (PBE, the Alexandria database).

Cell and atoms, written as POSCAR:
```
TaBiH2
1.0
-0.767 -5.891 -1.063
1.354 -1.215 5.755
-2.537 -3.314 3.062
Bi H Ta
2 4 2
Direct
0.000 0.000 0.000 Bi
0.750 0.250 0.500 Bi
0.375 0.481 0.750 H
0.519 0.125 0.250 H
0.231 0.625 0.250 H
0.875 0.769 0.750 H
0.250 0.750 0.500 Ta
0.500 0.500 0.000 Ta
```

Summary:
SG: I-42d (122)
Relative energy among the computed polymorphs in meV/atom: 0
Magnetic moment in μB/f.u.: 0.0
Total energy in Ry/atom: -0.3926



Entry 7:
# TaBi2H

A geometry-optimized TaBi2H structure (PBE, the Alexandria database).

Cell and atoms, written as POSCAR:
```
TaBi2H
1.0
6.830 0.000 0.000
0.000 6.830 0.000
3.415 3.415 3.499
H Ta Bi
2 2 4
Direct
0.500 0.500 0.000 H
0.250 0.750 0.500 H
0.000 0.000 0.000 Ta
0.750 0.250 0.500 Ta
0.875 0.796 0.750 Bi
0.204 0.625 0.250 Bi
0.546 0.125 0.250 Bi
0.375 0.454 0.750 Bi
```

Summary:
SG: I-42d (122)
Relative energy among the computed polymorphs in meV/atom: 0
Magnetic moment in μB/f.u.: 0.0
Total energy in Ry/atom: -0.3640



Entry 8:
# TaBi2H

A geometry-optimized TaBi2H structure (PBE, the Alexandria database).

Cell and atoms, written as POSCAR:
```
TaBi2H
1.0
0.000 3.509 3.509
3.509 0.000 3.509
3.509 3.509 0.000
H Bi Ta
1 2 1
Direct
0.000 0.000 0.000 H
0.250 0.250 0.250 Bi
0.750 0.750 0.750 Bi
0.500 0.500 0.500 Ta
```

Summary:
SG: Fm-3m (225)
Relative energy among the computed polymorphs in meV/atom: 132
Magnetic moment in μB/f.u.: 0.0
Total energy in Ry/atom: -0.3543



Entry 9:
# TaBiH3

A geometry-optimized TaBiH3 structure (PBE, the Alexandria database).

Cell and atoms, written as POSCAR:
```
TaBiH3
1.0
4.046 0.000 0.000
0.000 4.046 0.000
0.000 0.000 4.046
Ta H Bi
1 3 1
Direct
0.500 0.500 0.500 Ta
0.000 0.500 0.000 H
0.000 0.000 0.500 H
0.500 0.000 0.000 H
0.000 0.000 0.000 Bi
```

Summary:
SG: Pm-3m (221)
Relative energy among the computed polymorphs in meV/atom: 1157
Magnetic moment in μB/f.u.: 1.1
Total energy in Ry/atom: -0.2692



Entry 10:
# Ta2BiH2

A geometry-optimized Ta2BiH2 structure (PBE, the Alexandria database).

Cell and atoms, written as POSCAR:
```
Ta2BiH2
1.0
7.360 0.000 0.000
0.000 7.360 0.000
0.000 0.000 2.974
Ta H Bi
4 4 2
Direct
0.376 0.876 0.000 Ta
0.876 0.624 0.000 Ta
0.124 0.376 0.000 Ta
0.624 0.124 0.000 Ta
0.591 0.909 0.500 H
0.909 0.409 0.500 H
0.409 0.091 0.500 H
0.091 0.591 0.500 H
0.000 0.000 0.000 Bi
0.500 0.500 0.000 Bi
```

Summary:
SG: P4/mbm (127)
Relative energy among the computed polymorphs in meV/atom: 484
Magnetic moment in μB/f.u.: 0.0
Total energy in Ry/atom: -0.4500



Entry 11:
# TaBiH3

A geometry-optimized TaBiH3 structure (PBE, the Alexandria database).

Cell and atoms, written as POSCAR:
```
TaBiH3
1.0
-2.452 0.863 2.812
2.567 -1.159 2.595
1.436 3.547 0.164
H Ta Bi
3 1 1
Direct
0.500 0.000 0.000 H
0.000 0.500 0.000 H
0.000 0.000 0.500 H
0.000 0.000 0.000 Ta
0.500 0.500 0.500 Bi
```

Summary:
SG: Pm-3m (221)
Relative energy among the computed polymorphs in meV/atom: 0
Magnetic moment in μB/f.u.: 0.0
Total energy in Ry/atom: -0.3542



Entry 12:
# Ta2BiH2

A geometry-optimized Ta2BiH2 structure (PBE, the Alexandria database).

Cell and atoms, written as POSCAR:
```
Ta2BiH2
1.0
3.420 0.000 0.000
0.000 3.420 0.000
1.710 1.710 5.662
Ta H Bi
2 2 1
Direct
0.343 0.343 0.315 Ta
0.657 0.657 0.685 Ta
0.750 0.250 0.500 H
0.250 0.750 0.500 H
0.000 0.000 0.000 Bi
```

Summary:
SG: I4/mmm (139)
Relative energy among the computed polymorphs in meV/atom: 0
Magnetic moment in μB/f.u.: 0.0
Total energy in Ry/atom: -0.4855



Entry 13:
# TaBiH2

A geometry-optimized TaBiH2 structure (PBE, the Alexandria database).

Cell and atoms, written as POSCAR:
```
TaBiH2
1.0
0.000 3.001 3.001
3.001 0.000 3.001
3.001 3.001 0.000
H Bi Ta
2 1 1
Direct
0.750 0.750 0.750 H
0.250 0.250 0.250 H
0.500 0.500 0.500 Bi
0.000 0.000 0.000 Ta
```

Summary:
SG: Fm-3m (225)
Relative energy among the computed polymorphs in meV/atom: 873
Magnetic moment in μB/f.u.: 0.8
Total energy in Ry/atom: -0.3284



Entry 14:
# YTa2BiH

A geometry-optimized YTa2BiH structure (PBE, the Alexandria database).

Cell and atoms, written as POSCAR:
```
YTa2BiH
1.0
5.117 0.000 0.000
0.000 5.723 0.000
0.000 0.000 5.117
Bi H Ta Y
1 1 2 1
Direct
0.000 0.500 0.000 Bi
0.500 0.500 0.500 H
0.000 0.000 0.500 Ta
0.500 0.000 0.000 Ta
0.000 0.000 0.000 Y
```

Summary:
SG: P4/mmm (123)
Magnetic moment in μB/f.u.: 0.5
Total energy in Ry/atom: -0.3669



Entry 15:
# YTaBi2H

A geometry-optimized YTaBi2H structure (PBE, the Alexandria database).

Cell and atoms, written as POSCAR:
```
YTaBi2H
1.0
5.867 0.000 0.000
0.000 5.271 0.000
0.000 0.000 5.867
H Bi Y Ta
1 2 1 1
Direct
0.500 0.500 0.500 H
0.500 0.000 0.000 Bi
0.000 0.000 0.500 Bi
0.000 0.000 0.000 Y
0.000 0.500 0.000 Ta
```

Summary:
SG: P4/mmm (123)
Magnetic moment in μB/f.u.: 1.9
Total energy in Ry/atom: -0.3083



Entry 16:
# Zr2TaBiH

A geometry-optimized Zr2TaBiH structure (PBE, the Alexandria database).

Cell and atoms, written as POSCAR:
```
Zr2TaBiH
1.0
-3.306 -3.292 -0.568
2.699 -2.160 -3.185
1.685 -2.195 2.917
Ta Zr Bi H
1 2 1 1
Direct
0.000 0.000 0.500 Ta
0.500 0.000 0.000 Zr
0.000 0.500 0.000 Zr
0.500 0.500 0.500 Bi
0.000 0.000 0.000 H
```

Summary:
SG: P4/mmm (123)
Magnetic moment in μB/f.u.: 0.0
Total energy in Ry/atom: -0.5436



Entry 17:
# ZrTa2BiH

A geometry-optimized ZrTa2BiH structure (PBE, the Alexandria database).

Cell and atoms, written as POSCAR:
```
ZrTa2BiH
1.0
-4.246 -0.055 -0.243
0.208 -3.690 -2.805
-0.160 -2.578 3.380
Zr H Bi Ta
1 1 1 2
Direct
0.000 0.500 0.000 Zr
0.000 0.000 0.000 H
0.500 0.500 0.500 Bi
0.000 0.000 0.500 Ta
0.500 0.000 0.000 Ta
```

Summary:
SG: P4/mmm (123)
Magnetic moment in μB/f.u.: 0.0
Total energy in Ry/atom: -0.5765



Entry 18:
# Tb2Bi2H

A geometry-optimized Tb2Bi2H structure (PBE, the Alexandria database).

Cell and atoms, written as POSCAR:
```
Tb2Bi2H
1.0
4.357 0.000 0.000
0.000 7.754 0.000
-2.179 0.000 7.974
Bi Tb H
4 4 2
Direct
0.785 0.417 0.570 Bi
0.043 0.189 0.086 Bi
0.215 0.917 0.430 Bi
0.957 0.689 0.914 Bi
0.570 0.883 0.140 Tb
0.851 0.032 0.702 Tb
0.149 0.532 0.298 Tb
0.430 0.383 0.860 Tb
0.385 0.113 0.769 H
0.615 0.613 0.231 H
```

Summary:
SG: Cmc2_1 (36)
Magnetic moment in μB/f.u.: 0.0
Total energy in Ry/atom: -0.3431



Entry 19:
# Tb2Bi2H3

A geometry-optimized Tb2Bi2H3 structure (PBE, the Alexandria database).

Cell and atoms, written as POSCAR:
```
Tb2Bi2H3
1.0
3.611 0.000 0.000
-1.806 6.009 -0.536
0.000 -3.411 6.401
Tb H Bi
2 3 2
Direct
0.855 0.710 0.752 Tb
0.145 0.290 0.248 Tb
0.675 0.350 0.432 H
0.500 0.000 0.000 H
0.325 0.650 0.568 H
0.867 0.734 0.237 Bi
0.133 0.266 0.763 Bi
```

Summary:
SG: C2/m (12)
Magnetic moment in μB/f.u.: 0.0
Total energy in Ry/atom: -0.3219



Entry 20:
# Tb4Bi3H4

A geometry-optimized Tb4Bi3H4 structure (PBE, the Alexandria database).

Cell and atoms, written as POSCAR:
```
Tb4Bi3H4
1.0
4.230 0.000 0.000
0.000 7.615 0.000
-2.115 -3.807 7.024
Bi H Tb
3 4 4
Direct
0.879 0.879 0.759 Bi
0.121 0.121 0.241 Bi
0.000 0.500 0.000 Bi
0.327 0.152 0.654 H
0.327 0.502 0.654 H
0.673 0.848 0.346 H
0.673 0.498 0.346 H
0.786 0.286 0.572 Tb
0.214 0.714 0.428 Tb
0.500 0.771 0.000 Tb
0.500 0.229 0.000 Tb
```

Summary:
SG: Immm (71)
Magnetic moment in μB/f.u.: 0.0
Total energy in Ry/atom: -0.3264